A plane-wave DFT calculation with GGA-PBE was carried out for Hf2InP after structural relaxation.

Results
Total DFT energy (no corrections) ... -7.742 eV/atom
Mass density ... 10.018 Mg/m³
V ... 83 Å³/cell
Symmetry ... R3m, No. 160
Size of the total moment ... 0.00 μB per atom
ΔE_f ... -0.73 eV/atom
Energy above the most stable polymorph in this dataset ... 0.000 eV per atom

Lattice parameters (Å, degrees): 7.9683 7.9683 7.9683 25.63 25.63 25.63
Atoms (fractional coordinates):
Hf1 0.0000 0.0000 0.0000
Hf2 0.2049 0.2049 0.2049
In1 0.7696 0.7696 0.7696
P1 0.6021 0.6021 0.6021